No. 1
Entry from Alexandria: a relaxed NbZn4Ni5 crystal (PBE-GGA).

For the formation enthalpy at 0 K, the calculation gives -237.3 meV per atom.

Geometry as POSCAR:
```
NbZn4Ni5
1.0
-2.432 -1.095 -0.752
1.312 -1.733 -1.718
1.231 -11.004 12.041
Zn Ni Nb
4 5 1
direct
0.000 0.000 0.596 Zn
0.000 0.000 0.404 Zn
0.000 0.000 0.789 Zn
0.000 0.000 0.211 Zn
0.500 0.500 0.114 Ni
0.500 0.500 0.886 Ni
0.500 0.500 0.500 Ni
0.500 0.500 0.307 Ni
0.500 0.500 0.693 Ni
0.000 0.000 0.000 Nb
```

No. 2
Entry from Alexandria: a relaxed Pr12Nd7Sc crystal (PBE-GGA).

The offset from the most stable computed form comes out at 0.00 eV per formula unit. For the formation enthalpy at 0 K, the calculation gives 135.9 meV per atom.

Geometry as POSCAR:
```
Pr12Nd7Sc
1.0
9.533 -0.150 -0.226
-2.795 9.115 -0.226
-2.795 -3.719 8.325
Pr Nd Sc
12 7 1
direct
0.713 0.632 0.945 Pr
0.778 0.305 0.571 Pr
0.945 0.713 0.632 Pr
0.632 0.945 0.713 Pr
0.695 0.429 0.222 Pr
0.287 0.368 0.055 Pr
0.055 0.287 0.368 Pr
0.368 0.055 0.287 Pr
0.305 0.571 0.778 Pr
0.571 0.778 0.305 Pr
0.429 0.222 0.695 Pr
0.222 0.695 0.429 Pr
0.000 0.122 0.675 Nd
0.500 0.500 0.500 Nd
0.325 0.000 0.878 Nd
0.122 0.675 0.000 Nd
0.878 0.325 0.000 Nd
0.675 0.000 0.122 Nd
0.000 0.878 0.325 Nd
0.000 0.000 0.000 Sc
```